DFT (PBE) results for a relaxed Re2PtRh6 crystal.

Computed properties:
Spin magnetization ... 0.00 Bohr magnetons per cell
Final energy ... -75.8 eV/cell
Crystal system ... monoclinic
Space group ... C2/m (12)
Relative energy among the computed polymorphs ... 17.2 meV per atom

a = 4.7341 Å, b = 4.7341 Å, c = 8.1998 Å
α = 106.50°, β = 106.50°, γ = 48.05°
Fractional coordinates of all 9 atoms:
Re1 0.1737 0.1737 0.2304
Re2 0.8263 0.8263 0.7696
Pt1 0.5000 0.5000 0.0000
Rh1 0.1689 0.1689 0.8878
Rh2 0.1721 0.1721 0.5550
Rh3 0.4980 0.4980 0.3282
Rh4 0.5020 0.5020 0.6718
Rh5 0.8279 0.8279 0.4450
Rh6 0.8311 0.8311 0.1122


DFT (PBE) results for a relaxed InCuSeN2 crystal.

Computed properties:
Spin magnetization ... 3.67 Bohr magnetons per cell
Final energy ... -19.2 eV/cell
Crystal system ... tetragonal
Space group ... P4/mmm (123)
Relative energy among the computed polymorphs ... 272.5 meV per atom
Formation energy (no corrections) ... 1.553 eV per atom

a = 4.1586 Å, b = 4.1586 Å, c = 5.7910 Å
α = 90.00°, β = 90.00°, γ = 90.00°
Fractional coordinates of all 5 atoms:
In1 0.0000 0.0000 0.0000
Cu1 0.5000 0.5000 0.5000
Se1 0.0000 0.0000 0.5000
N1 0.0000 0.5000 0.0000
N2 0.5000 0.0000 0.0000


DFT (PBE) results for a relaxed Li3Ag5Sb2 crystal.

Computed properties:
Spin magnetization ... 0.00 Bohr magnetons per cell
Final energy ... -58.8 eV/cell
Crystal system ... orthorhombic
Space group ... Ibam (72)
Formation energy (no corrections) ... -0.114 eV per atom

a = 9.2106 Å, b = 9.2106 Å, c = 9.2106 Å
α = 105.04°, β = 85.96°, γ = 144.18°
Fractional coordinates of all 20 atoms:
Li1 0.2341 0.1303 0.3644
Li2 0.2500 0.2500 0.0000
Li3 0.2659 0.6303 0.8962
Li4 0.7341 0.3697 0.1038
Li5 0.7500 0.7500 0.0000
Li6 0.7659 0.8697 0.6356
Ag1 0.1532 0.3745 0.5278
Ag2 0.2500 0.5010 0.2510
Ag3 0.2500 0.7500 0.5000
Ag4 0.2500 0.9990 0.7490
Ag5 0.3468 0.8745 0.2213
Ag6 0.6532 0.1255 0.7787
Ag7 0.7500 0.0010 0.2510
Ag8 0.7500 0.2500 0.5000
Ag9 0.7500 0.4990 0.7490
Ag10 0.8468 0.6255 0.4722
Sb1 0.1469 0.8715 0.0183
Sb2 0.3531 0.3715 0.7246
Sb3 0.6469 0.6285 0.2754
Sb4 0.8531 0.1285 0.9817


DFT (PBE) results for a relaxed Cs2PdRhI6 crystal.

Computed properties:
Spin magnetization ... 0.00 Bohr magnetons per cell
Final energy ... -30.2 eV/cell
Crystal system ... tetragonal
Space group ... I4/mmm (139)
Formation energy (no corrections) ... -0.665 eV per atom

a = 7.9919 Å, b = 7.9919 Å, c = 7.9919 Å
α = 119.87°, β = 119.87°, γ = 90.23°
Fractional coordinates of all 10 atoms:
Cs1 0.2500 0.7500 0.5000
Cs2 0.7500 0.2500 0.5000
Pd1 0.0000 0.0000 0.0000
Rh1 0.5000 0.5000 0.0000
I1 0.2537 0.2537 0.0000
I2 0.2549 0.2549 0.5097
I3 0.2549 0.7451 0.0000
I4 0.7451 0.2549 0.0000
I5 0.7451 0.7451 0.4903
I6 0.7463 0.7463 0.0000


DFT (PBE) results for a relaxed Ca2ZnTe crystal.

Computed properties:
Spin magnetization ... 0.00 Bohr magnetons per cell
Final energy ... -11.4 eV/cell
Crystal system ... orthorhombic
Space group ... Amm2 (38)
Relative energy among the computed polymorphs ... 35.1 meV per atom
Formation energy (no corrections) ... -0.745 eV per atom

a = 4.4526 Å, b = 6.3417 Å, c = 6.3417 Å
α = 40.02°, β = 90.00°, γ = 90.00°
Fractional coordinates of all 4 atoms:
Ca1 0.0000 0.0000 0.0000
Ca2 0.5000 0.2792 0.2792
Zn1 0.0000 0.7468 0.7468
Te1 0.5000 0.5567 0.5567


DFT (PBE) results for a relaxed LaTe3Se crystal.

Computed properties:
Spin magnetization ... 3.89 Bohr magnetons per cell
Final energy ... -16.9 eV/cell
Crystal system ... cubic
Space group ... Pm-3m (221)
Relative energy among the computed polymorphs ... 593.0 meV per atom
Formation energy (no corrections) ... 0.195 eV per atom

a = 6.1900 Å, b = 6.1900 Å, c = 6.1900 Å
α = 90.00°, β = 90.00°, γ = 90.00°
Fractional coordinates of all 5 atoms:
La1 0.0000 0.0000 0.0000
Te1 0.0000 0.0000 0.5000
Te2 0.0000 0.5000 0.0000
Te3 0.5000 0.0000 0.0000
Se1 0.5000 0.5000 0.5000